Compound: K2BeZn
Source: Alexandria via LeMat-Bulk
Functional: PBE-GGA
Structure: relaxed

Cell lengths 7.541, 8.590, 4.206 Å; angles 90.00, 90.00, 90.00 degrees
Space group Cmmm (No. 65)
Unique sites:
K1 0.250 0.250 0.000 x4
Be1 0.000 0.000 0.500 x2
Zn1 0.000 0.500 0.500 x2

Properties
uncorrected energy = -0.08095 Ry/atom
D(E_F) = 0.66 states/eV per atom
E_form = 0.697 eV per atom
energy above the most stable polymorph in this dataset = 326 meV per atom